{"formula": "TbDy3", "functional": "GGA-PBE", "state": "optimized geometry", "n_ef_per_ev_atom": 1.39, "sg": "I4/mmm (139)", "volume_a3_per_atom": 31.322, "ef_kj_per_mol_atoms": 1.7, "lattice_angstrom": [[-2.5008, 2.5008, 5.0084], [2.5008, -2.5008, 5.0084], [2.5008, 2.5008, -5.0084]], "species": ["Tb", "Dy", "Dy", "Dy"], "fractional_positions": [[0.0000, 0.0000, 0.0000], [0.2500, 0.7500, 0.5000], [0.5000, 0.5000, 0.0000], [0.7500, 0.2500, 0.5000]]}